# PBE AcPm2PrNd4, relaxed
# V: 36.8 A^3/atom
# ΔH_f (0 K): 2.9 eV per formula unit
# Crystal system: monoclinic
# Total moment: 0.00 μB per atom
# Calculated total energy: -4.315 eV per atom
data_AcPm2PrNd4
_cell_length_a 14.078
_cell_length_b 13.574
_cell_length_c 7.129
_cell_angle_alpha 90.00
_cell_angle_beta 120.18
_cell_angle_gamma 90.00
_space_group_name_H-M_alt 'C 1 2/c 1'
_space_group_IT_number 15
loop_
_space_group_symop_operation_xyz
'x,y,z'
'-x,-y,-z'
'-x,y,-z+1/2'
'x,-y,z+1/2'
'x+1/2,y+1/2,z'
'-x+1/2,-y+1/2,-z'
'-x+1/2,y+1/2,-z+1/2'
'x+1/2,-y+1/2,z+1/2'
loop_
_atom_site_label
_atom_site_type_symbol
_atom_site_fract_x
_atom_site_fract_y
_atom_site_fract_z
_atom_site_occupancy
Ac1 Ac 0.250 0.250 0.000 1
Pm1 Pm 0.000 0.000 0.000 1
Pm2 Pm 0.250 0.250 0.500 1
Pr1 Pr 0.000 0.500 0.000 1
Nd1 Nd 0.000 0.248 0.014 1
Nd2 Nd 0.248 0.008 0.428 1